Entry 1:
A plane-wave DFT calculation with GGA-PBE was carried out for a geometry-optimized Tm4Zn3Ag structure.

Unit cell a=3.538 b=3.538 c=14.120 alpha=90.00 beta=90.00 gamma=90.00
Element x y z (fractional)
Tm 0.000 0.000 0.870
Tm 0.000 0.000 0.130
Tm 0.000 0.000 0.377
Tm 0.000 0.000 0.623
Ag 0.500 0.500 0.000
Zn 0.500 0.500 0.254
Zn 0.500 0.500 0.500
Zn 0.500 0.500 0.746

Computed properties:
Energy of formation from the pure elements (eV/atom): -0.351
Distance to the lowest polymorph of the same formula (kJ per mole of atoms): 0.0
Total magnetic moment (μB/f.u.): 0.0

=====

Entry 2:
A plane-wave DFT calculation with GGA-PBE was carried out for a geometry-optimized TmZn6Ag2 structure.

Unit cell a=3.227 b=7.747 c=7.747 alpha=57.51 beta=77.98 gamma=77.98
Element x y z (fractional)
Zn 0.677 0.005 0.642
Zn 0.323 0.358 0.995
Zn 0.323 0.995 0.358
Zn 0.500 0.670 0.330
Zn 0.677 0.642 0.005
Zn 0.500 0.330 0.670
Ag 0.857 0.643 0.643
Ag 0.143 0.357 0.357
Tm 0.000 0.000 0.000

Computed properties:
Energy of formation from the pure elements (eV/atom): -0.098
Total magnetic moment (μB/f.u.): 0.0

=====

Entry 3:
A plane-wave DFT calculation with GGA-PBE was carried out for a geometry-optimized TmZn4Ag2 structure.

Unit cell a=5.321 b=5.484 c=5.484 alpha=76.78 beta=60.98 gamma=60.98
Element x y z (fractional)
Tm 0.000 0.000 0.000
Ag 0.750 0.500 0.500
Ag 0.250 0.500 0.500
Zn 0.690 0.620 0.999
Zn 0.310 0.001 0.380
Zn 0.690 0.999 0.620
Zn 0.310 0.380 0.001

Computed properties:
Energy of formation from the pure elements (eV/atom): -0.186
Distance to the lowest polymorph of the same formula (kJ per mole of atoms): 0.0
Total magnetic moment (μB/f.u.): 0.0

=====

Entry 4:
A plane-wave DFT calculation with GGA-PBE was carried out for a geometry-optimized Tm5ZrAg4 structure.

Unit cell a=3.520 b=3.520 c=19.149 alpha=90.00 beta=90.00 gamma=90.00
Element x y z (fractional)
Tm 0.500 0.500 0.885
Tm 0.500 0.500 0.500
Tm 0.500 0.500 0.692
Tm 0.500 0.500 0.308
Tm 0.500 0.500 0.115
Ag 0.000 0.000 0.596
Ag 0.000 0.000 0.788
Ag 0.000 0.000 0.212
Ag 0.000 0.000 0.404
Zr 0.000 0.000 0.000

Computed properties:
Energy of formation from the pure elements (eV/atom): -0.252
Total magnetic moment (μB/f.u.): 0.0

=====

Entry 5:
A plane-wave DFT calculation with GGA-PBE was carried out for a geometry-optimized Tm4ZrAg5 structure.

Unit cell a=3.538 b=3.538 c=17.991 alpha=90.00 beta=90.00 gamma=90.00
Element x y z (fractional)
Tm 0.000 0.000 0.805
Tm 0.000 0.000 0.602
Tm 0.000 0.000 0.398
Tm 0.000 0.000 0.195
Ag 0.500 0.500 0.094
Ag 0.500 0.500 0.906
Ag 0.500 0.500 0.296
Ag 0.500 0.500 0.500
Ag 0.500 0.500 0.704
Zr 0.000 0.000 0.000

Computed properties:
Energy of formation from the pure elements (eV/atom): -0.257
Total magnetic moment (μB/f.u.): 1.1

=====

Entry 6:
A plane-wave DFT calculation with GGA-PBE was carried out for a geometry-optimized Tm4ZrAg structure.

Unit cell a=3.424 b=3.424 c=13.623 alpha=90.00 beta=90.00 gamma=90.00
Element x y z (fractional)
Tm 0.000 0.000 0.642
Tm 0.500 0.500 0.836
Tm 0.000 0.000 0.358
Tm 0.500 0.500 0.164
Zr 0.000 0.000 0.000
Ag 0.500 0.500 0.500

Computed properties:
Energy of formation from the pure elements (eV/atom): -0.055
Total magnetic moment (μB/f.u.): 0.0

=====

Question: energy of formation from the pure elements of number 6 (Tm4ZrAg)?
Answer: -0.055 eV/atom